Entry 1:
Compound: NdHo5Tl2
Source: the Alexandria database
Functional: PBE
Structure: relaxed

Geometry as extended XYZ:
```
8
Lattice="3.652 0.000 0.000 1.826 8.207 -0.448 1.826 2.042 7.961" Properties=species:S:1:pos:R:3 pbc="T T T"
Nd 0.000 0.000 0.000
Ho 1.826 5.124 3.757
Ho 3.652 5.144 0.843
Ho 3.652 5.105 6.670
Ho 3.652 7.897 2.861
Ho 3.652 2.352 4.652
Tl 5.477 7.782 5.705
Tl 1.826 2.467 1.808
```

Calculated volume, Å³ per cell: 242
Symmetry: Immm (71)
ΔE_f, eV per atom: -0.12



Entry 2:
Compound: PrSm2I
Source: the Alexandria database
Functional: PBE
Structure: relaxed

Geometry as extended XYZ:
```
4
Lattice="3.714 0.000 0.000 0.000 3.714 0.000 0.000 0.000 9.781" Properties=species:S:1:pos:R:3 pbc="T T T"
Pr 1.857 1.857 0.000
I 1.857 1.857 4.891
Sm 0.000 0.000 7.235
Sm 0.000 0.000 2.546
```

Calculated volume, Å³ per cell: 135
Symmetry: P4/mmm (123)
Energy relative to the elements, uncorrected, meV/atom: -320
Polymorph energy (0 for the lowest one), kcal/mol of atoms: 1.79



Entry 3:
Compound: YAs2WS
Source: the Alexandria database
Functional: PBE
Structure: relaxed

Geometry as extended XYZ:
```
5
Lattice="-0.057 3.895 -2.606 -5.961 0.136 0.332 0.276 2.604 3.886" Properties=species:S:1:pos:R:3 pbc="T T T"
Y -2.980 0.068 0.166
As 0.138 1.302 1.943
As -0.028 1.947 -1.303
S -2.871 3.317 0.806
W 0.000 0.000 0.000
```

Calculated volume, Å³ per cell: 131
Symmetry: P4/mmm (123)
Energy relative to the elements, uncorrected, meV/atom: 88



Entry 4:
Compound: CaSiAg2Te4
Source: the Alexandria database
Functional: PBE
Structure: relaxed

Geometry as extended XYZ:
```
8
Lattice="6.776 0.277 0.000 -0.286 6.776 0.000 -3.245 -3.526 5.863" Properties=species:S:1:pos:R:3 pbc="T T T"
Ca 0.000 0.000 0.006
Si 0.000 0.000 5.862
Ag 3.388 0.138 2.933
Ag -0.143 3.388 2.933
Te 1.392 1.512 4.359
Te 1.732 4.918 1.501
Te 4.758 2.134 1.501
Te -1.392 -1.512 4.359
```

Calculated volume, Å³ per cell: 270
Symmetry: Fmm2 (42)
Energy relative to the elements, uncorrected, meV/atom: -420



Entry 5:
Compound: BaTaTl2C
Source: the Alexandria database
Functional: PBE
Structure: relaxed

Geometry as extended XYZ:
```
5
Lattice="5.462 0.000 0.000 0.000 6.246 0.000 0.000 0.000 5.462" Properties=species:S:1:pos:R:3 pbc="T T T"
C 2.731 3.123 2.731
Tl 0.000 0.000 2.731
Tl 2.731 0.000 0.000
Ba 0.000 3.123 0.000
Ta 0.000 0.000 0.000
```

Calculated volume, Å³ per cell: 186
Symmetry: P4/mmm (123)
ΔE_f, eV per atom: 1.84



Entry 6:
Compound: Er5Sc4Rh4
Source: the Alexandria database
Functional: PBE
Structure: relaxed

Geometry as extended XYZ:
```
13
Lattice="4.043 0.000 1.028 2.022 8.346 0.514 -0.035 0.000 8.602" Properties=species:S:1:pos:R:3 pbc="T T T"
Er 4.662 7.826 7.062
Er 1.369 0.520 3.082
Er 0.000 0.000 0.000
Er 3.915 5.696 1.532
Er 2.115 2.650 8.613
Sc 4.621 4.292 7.220
Sc 2.986 2.487 5.187
Sc 1.409 4.054 2.924
Sc 3.044 5.859 4.957
Rh 3.679 2.722 2.460
Rh 2.351 5.624 7.684
Rh 5.394 6.868 4.180
Rh 0.636 1.478 5.965
```

Calculated volume, Å³ per cell: 291
Symmetry: I4/m (87)
ΔE_f, eV per atom: -0.63



Entry 7:
Compound: TmMgBiPd
Source: the Alexandria database
Functional: PBE
Structure: relaxed

Geometry as extended XYZ:
```
4
Lattice="5.053 0.000 0.000 2.526 4.376 0.000 2.526 1.459 4.126" Properties=species:S:1:pos:R:3 pbc="T T T"
Mg 7.579 4.376 3.094
Tm 2.526 1.459 1.031
Bi 5.053 2.917 2.063
Pd 0.000 0.000 0.000
```

Calculated volume, Å³ per cell: 91
Symmetry: F-43m (216)
ΔE_f, eV per atom: -0.52



Entry 8:
Compound: HfSbPd6
Source: the Alexandria database
Functional: PBE
Structure: relaxed

Geometry as extended XYZ:
```
8
Lattice="-3.275 -5.365 -3.152 3.229 -6.777 -0.842 -0.960 -4.851 1.464" Properties=species:S:1:pos:R:3 pbc="T T T"
Hf -0.503 -8.497 -1.265
Sb 0.000 0.000 0.000
Pd -2.479 -12.281 -2.137
Pd -0.080 -14.122 -2.067
Pd -0.985 -5.794 -1.114
Pd -0.925 -2.871 -0.463
Pd 1.474 -4.713 -0.393
Pd -0.020 -11.199 -1.416
```

Calculated volume, Å³ per cell: 137
Symmetry: P-1 (2)
Energy relative to the elements, uncorrected, meV/atom: -485
Polymorph energy (0 for the lowest one), kcal/mol of atoms: 3.03



Entry 9:
Compound: BaOsRh
Source: the Alexandria database
Functional: PBE
Structure: relaxed

Geometry as extended XYZ:
```
3
Lattice="2.109 -3.653 0.000 2.109 3.653 0.000 0.000 0.000 5.148" Properties=species:S:1:pos:R:3 pbc="T T T"
Ba 0.000 0.000 2.574
Os 2.109 -1.218 0.000
Rh 2.109 1.218 0.000
```

Calculated volume, Å³ per cell: 79
Symmetry: P-6m2 (187)
ΔE_f, eV per atom: 0.36
Polymorph energy (0 for the lowest one), kcal/mol of atoms: 0.00



Entry 10:
Compound: Pm3PuRu2
Source: the Alexandria database
Functional: PBE
Structure: relaxed

Geometry as extended XYZ:
```
12
Lattice="-0.784 -3.195 2.515 7.434 -1.391 3.959 -0.079 4.690 9.342" Properties=species:S:1:pos:R:3 pbc="T T T"
Pm 0.634 3.417 7.947
Pm 5.937 -3.312 7.869
Pm 4.535 1.510 13.558
Pm 2.036 -1.405 2.259
Pm 5.380 -0.866 10.804
Pm 1.191 0.970 5.013
Pu 3.000 1.012 9.038
Pu 3.572 -0.907 6.778
Ru 2.604 0.457 11.618
Ru 3.968 -0.352 4.198
Ru 0.724 0.606 7.813
Ru 5.848 -0.501 8.003
```

Calculated volume, Å³ per cell: 335
Symmetry: C2/m (12)
ΔE_f, eV per atom: -0.10
Polymorph energy (0 for the lowest one), kcal/mol of atoms: 1.48



Entry 11:
Compound: LiPu2Mn
Source: the Alexandria database
Functional: PBE
Structure: relaxed

Geometry as extended XYZ:
```
4
Lattice="3.180 0.000 0.000 0.000 5.050 0.000 0.000 0.000 5.050" Properties=species:S:1:pos:R:3 pbc="T T T"
Mn 1.590 0.000 0.000
Li 1.590 2.525 2.525
Pu 0.000 0.000 2.525
Pu 0.000 2.525 0.000
```

Calculated volume, Å³ per cell: 81
Symmetry: P4/mmm (123)
ΔE_f, eV per atom: 0.27
Polymorph energy (0 for the lowest one), kcal/mol of atoms: 2.70



Entry 12:
Compound: BaNaPd2
Source: the Alexandria database
Functional: PBE
Structure: relaxed

Geometry as extended XYZ:
```
8
Lattice="-0.029 3.524 3.702 -5.111 -0.049 0.007 -2.496 -4.959 8.228" Properties=species:S:1:pos:R:3 pbc="T T T"
Na -2.570 1.737 1.855
Na -5.088 -1.635 5.045
Ba 0.000 0.000 0.000
Ba -2.547 0.151 6.892
Pd -1.275 0.307 3.690
Pd -3.827 -0.181 3.206
Pd -4.741 -2.425 7.563
Pd -5.427 -0.670 9.415
```

Calculated volume, Å³ per cell: 241
Symmetry: I-42d (122)
ΔE_f, eV per atom: -0.08
Polymorph energy (0 for the lowest one), kcal/mol of atoms: 1.43



What did the fourth record say?
Compound: CaSiAg2Te4
Source: the Alexandria database
Functional: PBE
Structure: relaxed

Geometry as extended XYZ:
```
8
Lattice="6.776 0.277 0.000 -0.286 6.776 0.000 -3.245 -3.526 5.863" Properties=species:S:1:pos:R:3 pbc="T T T"
Ca 0.000 0.000 0.006
Si 0.000 0.000 5.862
Ag 3.388 0.138 2.933
Ag -0.143 3.388 2.933
Te 1.392 1.512 4.359
Te 1.732 4.918 1.501
Te 4.758 2.134 1.501
Te -1.392 -1.512 4.359
```

Calculated volume, Å³ per cell: 270
Symmetry: Fmm2 (42)
Energy relative to the elements, uncorrected, meV/atom: -420



- Among the records above, which one has the highest calculated volume?
  Pm3PuRu2